1.
PmCd4Pd5 | PBE | optimized geometry

abc: 3.4768 3.4768 15.4572
angles: 90.00 90.00 90.00
Sites, in units of the cell vectors:
Pm 0.0000 0.0000 0.0000
Cd 0.0000 0.0000 0.2118
Cd 0.0000 0.0000 0.4037
Cd 0.0000 0.0000 0.5963
Cd 0.0000 0.0000 0.7882
Pd 0.5000 0.5000 0.1132
Pd 0.5000 0.5000 0.3061
Pd 0.5000 0.5000 0.5000
Pd 0.5000 0.5000 0.6939
Pd 0.5000 0.5000 0.8868

## Properties
The calculation puts the energy relative to the elements at -0.464 eV per atom.


2.
Er3Tm2Cd4 | PBE | optimized geometry

abc: 9.8896 9.8896 7.9506
angles: 90.00 90.00 140.80
Sites, in units of the cell vectors:
Er 0.0000 0.0000 0.0000
Er 0.0045 0.4955 0.2500
Er 0.4955 0.0045 0.7500
Er 0.5000 0.5000 0.5000
Er 0.5045 0.9955 0.2500
Er 0.9955 0.5045 0.7500
Tm 0.0913 0.9087 0.3983
Tm 0.4087 0.5913 0.8983
Tm 0.5913 0.4087 0.1017
Tm 0.9087 0.0913 0.6017
Cd 0.1594 0.8406 0.0201
Cd 0.1737 0.3263 0.2500
Cd 0.3263 0.1737 0.7500
Cd 0.3406 0.6594 0.5201
Cd 0.6594 0.3406 0.4799
Cd 0.6737 0.8263 0.2500
Cd 0.8263 0.6737 0.7500
Cd 0.8406 0.1594 0.9799

## Properties
The calculation puts the energy relative to the elements at -0.122 eV per atom.


3.
Th3Bi2Te | PBE | optimized geometry

abc: 3.9154 3.9154 11.7217
angles: 90.00 90.00 90.00
Sites, in units of the cell vectors:
Th 0.0000 0.0000 0.0000
Th 0.0000 0.0000 0.3333
Th 0.0000 0.0000 0.6667
Bi 0.5000 0.5000 0.1689
Bi 0.5000 0.5000 0.8311
Te 0.5000 0.5000 0.5000

## Properties
The value obtained for the uncorrected formation energy is -729 meV/atom.


4.
LiDyLuSn | PBE | optimized geometry

abc: 5.1651 5.1651 5.1651
angles: 60.00 60.00 60.00
Sites, in units of the cell vectors:
Li 0.0000 0.0000 0.0000
Dy 0.7500 0.7500 0.7500
Lu 0.2500 0.2500 0.2500
Sn 0.5000 0.5000 0.5000

## Properties
The calculation puts the energy relative to the elements at -0.372 eV per atom.


5.
TbDy2MgTl4 | PBE | optimized geometry

abc: 9.4197 9.4197 9.4197
angles: 32.41 32.41 32.41
Sites, in units of the cell vectors:
Tb 0.0000 0.0000 0.0000
Dy 0.2437 0.2437 0.2437
Dy 0.7563 0.7563 0.7563
Mg 0.5000 0.5000 0.5000
Tl 0.1242 0.1242 0.1242
Tl 0.3758 0.3758 0.3758
Tl 0.6242 0.6242 0.6242
Tl 0.8758 0.8758 0.8758

## Properties
The calculation puts the energy relative to the elements at -0.290 eV per atom.


6.
Th6In2Tc | PBE | optimized geometry

abc: 8.8982 8.8982 3.8145
angles: 90.00 90.00 120.00
Sites, in units of the cell vectors:
Th 0.0000 0.2452 0.0000
Th 0.0000 0.6065 0.5000
Th 0.2452 0.0000 0.0000
Th 0.3935 0.3935 0.5000
Th 0.6065 0.0000 0.5000
Th 0.7548 0.7548 0.0000
In 0.3333 0.6667 0.0000
In 0.6667 0.3333 0.0000
Tc 0.0000 0.0000 0.5000

## Properties
The calculation puts the energy relative to the elements at -0.211 eV per atom.


7.
Cu2MoPb | PBE | optimized geometry

abc: 5.3723 5.3723 4.9126
angles: 116.95 116.95 31.68
Sites, in units of the cell vectors:
Cu 0.0000 0.0000 0.0000
Cu 0.7232 0.7232 0.3669
Mo 0.2540 0.2540 0.8985
Pb 0.4844 0.4844 0.5029

## Properties
The calculation puts the energy relative to the elements at 0.523 eV per atom.


8.
Tb3Ce2Er8 | PBE | optimized geometry

abc: 8.5939 8.5939 6.7773
angles: 105.65 105.65 63.89
Sites, in units of the cell vectors:
Tb 0.0000 0.0000 0.0000
Tb 0.1741 0.8259 0.5000
Tb 0.8259 0.1741 0.5000
Ce 0.2163 0.2163 0.4154
Ce 0.7837 0.7837 0.5846
Er 0.1915 0.1915 0.8911
Er 0.1994 0.5637 0.8238
Er 0.4176 0.4176 0.2713
Er 0.4363 0.8006 0.1762
Er 0.5637 0.1994 0.8238
Er 0.5824 0.5824 0.7287
Er 0.8006 0.4363 0.1762
Er 0.8085 0.8085 0.1089

## Properties
The calculation puts the energy relative to the elements at 0.281 eV per atom.


9.
SrGaBr6 | PBE | optimized geometry

abc: 7.2090 7.2090 7.1425
angles: 99.31 99.31 121.11
Sites, in units of the cell vectors:
Sr 0.0000 0.0000 0.0000
Ga 0.5000 0.5000 0.5000
Br 0.1901 0.1901 0.6585
Br 0.1904 0.4775 0.2565
Br 0.4775 0.1904 0.2565
Br 0.5225 0.8096 0.7435
Br 0.8096 0.5225 0.7435
Br 0.8099 0.8099 0.3415

## Properties
The value obtained for the uncorrected formation energy is -1023 meV/atom.


10.
Tl2AuCl | PBE | optimized geometry

abc: 8.1704 8.1704 8.1704
angles: 151.60 151.45 40.70
Sites, in units of the cell vectors:
Tl 0.0000 0.0000 0.0000
Tl 0.7388 0.2388 0.5000
Au 0.1619 0.6619 0.5000
Cl 0.4097 0.4097 0.0000

## Properties
The value obtained for the uncorrected formation energy is -388 meV/atom.


11.
La4Np6O19 | PBE | optimized geometry

abc: 8.5694 8.5694 8.5694
angles: 109.47 109.47 109.47
Sites, in units of the cell vectors:
La 0.0000 0.0000 0.2919
La 0.0000 0.2919 0.0000
La 0.2919 0.0000 0.0000
La 0.7081 0.7081 0.7081
Np 0.1738 0.5000 0.6738
Np 0.3262 0.8262 0.5000
Np 0.5000 0.3262 0.8262
Np 0.5000 0.6738 0.1738
Np 0.6738 0.1738 0.5000
Np 0.8262 0.5000 0.3262
O 0.0000 0.0000 0.0000
O 0.0000 0.3606 0.3606
O 0.0000 0.6394 0.6394
O 0.0255 0.7590 0.3521
O 0.2410 0.2665 0.5930
O 0.2665 0.5930 0.2410
O 0.3265 0.7335 0.9745
O 0.3521 0.0255 0.7590
O 0.3606 0.0000 0.3606
O 0.3606 0.3606 0.0000
O 0.4070 0.6735 0.6479
O 0.5930 0.2410 0.2665
O 0.6394 0.0000 0.6394
O 0.6394 0.6394 0.0000
O 0.6479 0.4070 0.6735
O 0.6735 0.6479 0.4070
O 0.7335 0.9745 0.3265
O 0.7590 0.3521 0.0255
O 0.9745 0.3265 0.7335

## Properties
The value obtained for the uncorrected formation energy is -3085 meV/atom.


12.
Pr2Nd7Ho2 | PBE | optimized geometry

abc: 6.4985 8.6039 13.9432
angles: 96.91 93.88 96.85
Sites, in units of the cell vectors:
Pr 0.1352 0.2314 0.0212
Pr 0.2542 0.4791 0.5400
Pr 0.7458 0.5209 0.4600
Pr 0.8648 0.7686 0.9788
Nd 0.1000 0.8134 0.6415
Nd 0.1287 0.4883 0.8217
Nd 0.3548 0.3925 0.2666
Nd 0.3567 0.6396 0.0693
Nd 0.3631 0.9102 0.8855
Nd 0.3757 0.1853 0.7098
Nd 0.3908 0.1302 0.4456
Nd 0.6092 0.8698 0.5544
Nd 0.6243 0.8147 0.2902
Nd 0.6369 0.0898 0.1145
Nd 0.6433 0.3604 0.9307
Nd 0.6452 0.6075 0.7334
Nd 0.8713 0.5117 0.1783
Nd 0.9000 0.1866 0.3585
Ho 0.1370 0.7583 0.3895
Ho 0.1451 0.9600 0.1964
Ho 0.8549 0.0400 0.8036
Ho 0.8630 0.2417 0.6105

## Properties
The calculation puts the energy relative to the elements at 0.073 eV per atom.


Q: Which density values were calculated for the entries above? A: 10.01, 8.71, 11.47, 7.89, 10.31, 10.92, 10.88, 8.16, 3.52, 8.61, 7.82, 7.03, in g cm⁻³.
Q: Which total DFT energy (no corrections) values were calculated for the entries above? A: -3.90, -3.04, -6.26, -4.13, -3.40, -6.92, -5.16, -4.51, -2.87, -2.85, -9.69, -4.66, in eV/atom.